# Mn2Fe2Co (PBE, optimized geometry)
data_Mn2Fe2Co
_chemical_formula_sum 'Mn4 Fe4 Co2'
_symmetry_space_group_name_H-M 'P 4/m b m'
_symmetry_Int_Tables_number 127
_symmetry_space_group_name_Hall '-P 4 2ab'
_cell_length_a 6.620
_cell_length_b 6.620
_cell_length_c 2.490
_cell_angle_alpha 90.00
_cell_angle_beta 90.00
_cell_angle_gamma 90.00
loop_
_atom_site_label
_atom_site_type_symbol
_atom_site_fract_x
_atom_site_fract_y
_atom_site_fract_z
_atom_site_occupancy
Mn1 Mn 0.124 0.376 0.000 1
Fe1 Fe 0.172 0.672 0.500 1
Co1 Co 0.000 0.000 0.000 1
# - uncorrected energy (eV/atom) = -8.18
# - excess energy over the best structure of this formula in the dataset (meV per atom) = 210
# - energy relative to the elements (eV/atom) = 0.2988
# - N(E_F) (states/eV per cell) = 14.792

# MnFe14Co (PBE, optimized geometry)
data_MnFe14Co
_chemical_formula_sum 'Mn2 Fe28 Co2'
_symmetry_space_group_name_H-M 'C m m m'
_symmetry_Int_Tables_number 65
_symmetry_space_group_name_Hall '-C 2 2'
_cell_length_a 5.664
_cell_length_b 8.009
_cell_length_c 8.019
_cell_angle_alpha 90.00
_cell_angle_beta 90.00
_cell_angle_gamma 90.00
loop_
_atom_site_label
_atom_site_type_symbol
_atom_site_fract_x
_atom_site_fract_y
_atom_site_fract_z
_atom_site_occupancy
Mn1 Mn 0.000 0.000 0.000 1
Fe1 Fe 0.000 0.000 0.500 1
Fe2 Fe 0.000 0.249 0.250 1
Fe3 Fe 0.000 0.500 0.500 1
Fe4 Fe 0.249 0.000 0.248 1
Fe5 Fe 0.250 0.250 0.000 1
Fe6 Fe 0.250 0.250 0.500 1
Co1 Co 0.000 0.500 0.000 1
# - uncorrected energy (eV/atom) = -8.41
# - energy relative to the elements (eV/atom) = 0.0166
# - N(E_F) (states/eV per cell) = 28.961

# Mn2Fe6Co (PBE, optimized geometry)
data_Mn2Fe6Co
_chemical_formula_sum 'Mn2 Fe6 Co1'
_symmetry_space_group_name_H-M 'P -1'
_symmetry_Int_Tables_number 2
_symmetry_space_group_name_Hall '-P 1'
_cell_length_a 4.005
_cell_length_b 4.705
_cell_length_c 6.156
_cell_angle_alpha 110.14
_cell_angle_beta 108.94
_cell_angle_gamma 90.08
loop_
_atom_site_label
_atom_site_type_symbol
_atom_site_fract_x
_atom_site_fract_y
_atom_site_fract_z
_atom_site_occupancy
Mn1 Mn 0.109 0.054 0.218 1
Fe1 Fe 0.222 0.612 0.444 1
Fe2 Fe 0.332 0.163 0.665 1
Fe3 Fe 0.444 0.722 0.889 1
Co1 Co 0.000 0.500 0.000 1
# - uncorrected energy (eV/atom) = -8.40
# - energy relative to the elements (eV/atom) = 0.0656
# - N(E_F) (states/eV per cell) = 9.477

# MnFeCo3 (PBE, optimized geometry)
data_MnFeCo3
_chemical_formula_sum 'Mn1 Fe1 Co3'
_symmetry_space_group_name_H-M 'P m -3 m'
_symmetry_Int_Tables_number 221
_symmetry_space_group_name_Hall '-P 4 2 3'
_cell_length_a 4.126
_cell_length_b 4.126
_cell_length_c 4.126
_cell_angle_alpha 90.00
_cell_angle_beta 90.00
_cell_angle_gamma 90.00
loop_
_atom_site_label
_atom_site_type_symbol
_atom_site_fract_x
_atom_site_fract_y
_atom_site_fract_z
_atom_site_occupancy
Mn1 Mn 0.000 0.000 0.000 1
Fe1 Fe 0.500 0.500 0.500 1
Co1 Co 0.000 0.000 0.500 1
# - uncorrected energy (eV/atom) = -6.52
# - excess energy over the best structure of this formula in the dataset (meV per atom) = 197
# - energy relative to the elements (eV/atom) = 1.2663
# - N(E_F) (states/eV per cell) = 10.313

# MnFeCo2 (PBE, optimized geometry)
data_MnFeCo2
_chemical_formula_sum 'Mn1 Fe1 Co2'
_symmetry_space_group_name_H-M 'P m m 2'
_symmetry_Int_Tables_number 25
_symmetry_space_group_name_Hall 'P 2 -2'
_cell_length_a 2.492
_cell_length_b 3.529
_cell_length_c 5.012
_cell_angle_alpha 90.00
_cell_angle_beta 90.00
_cell_angle_gamma 90.00
loop_
_atom_site_label
_atom_site_type_symbol
_atom_site_fract_x
_atom_site_fract_y
_atom_site_fract_z
_atom_site_occupancy
Mn1 Mn 0.000 0.000 0.000 1
Fe1 Fe 0.500 0.500 0.744 1
Co1 Co 0.000 0.000 0.491 1
Co2 Co 0.500 0.500 0.256 1
# - uncorrected energy (eV/atom) = -7.90
# - excess energy over the best structure of this formula in the dataset (meV per atom) = 100
# - energy relative to the elements (eV/atom) = 0.0568
# - N(E_F) (states/eV per cell) = 4.788

# Mn2Fe3Co6 (PBE, optimized geometry)
data_Mn2Fe3Co6
_chemical_formula_sum 'Mn2 Fe3 Co6'
_symmetry_space_group_name_H-M 'P 1'
_symmetry_Int_Tables_number 1
_symmetry_space_group_name_Hall 'P 1'
_cell_length_a 4.661
_cell_length_b 4.732
_cell_length_c 7.222
_cell_angle_alpha 100.06
_cell_angle_beta 99.71
_cell_angle_gamma 117.31
loop_
_atom_site_label
_atom_site_type_symbol
_atom_site_fract_x
_atom_site_fract_y
_atom_site_fract_z
_atom_site_occupancy
Mn1 Mn 0.000 0.000 0.000 1
Mn2 Mn 0.335 0.817 0.807 1
Fe1 Fe 0.154 0.621 0.146 1
Fe2 Fe 0.157 0.157 0.640 1
Fe3 Fe 0.497 0.009 0.469 1
Co1 Co 0.019 0.489 0.466 1
Co2 Co 0.497 0.482 0.975 1
Co3 Co 0.632 0.140 0.149 1
Co4 Co 0.671 0.650 0.632 1
Co5 Co 0.808 0.797 0.311 1
Co6 Co 0.829 0.321 0.806 1
# - uncorrected energy (eV/atom) = -7.67
# - energy relative to the elements (eV/atom) = 0.1767
# - N(E_F) (states/eV per cell) = 11.536

# MnFeCo2N (PBE, optimized geometry)
data_MnFeCo2N
_chemical_formula_sum 'Mn1 Fe1 Co2 N1'
_symmetry_space_group_name_H-M 'P 4/m m m'
_symmetry_Int_Tables_number 123
_symmetry_space_group_name_Hall '-P 4 2'
_cell_length_a 3.752
_cell_length_b 3.752
_cell_length_c 3.786
_cell_angle_alpha 90.00
_cell_angle_beta 90.00
_cell_angle_gamma 90.00
loop_
_atom_site_label
_atom_site_type_symbol
_atom_site_fract_x
_atom_site_fract_y
_atom_site_fract_z
_atom_site_occupancy
Mn1 Mn 0.000 0.000 0.000 1
Fe1 Fe 0.500 0.500 0.000 1
Co1 Co 0.000 0.500 0.500 1
N1 N 0.000 0.000 0.500 1
# - uncorrected energy (eV/atom) = -8.06
# - formation energy from raw total energies (eV/atom) = -0.025
# - excess energy over the best structure of this formula in the dataset (meV per atom) = 0
# - N(E_F) (states/eV per cell) = 4.867

# Mn2FeCoN (PBE, optimized geometry)
data_Mn2FeCoN
_chemical_formula_sum 'Mn2 Fe1 Co1 N1'
_symmetry_space_group_name_H-M 'P 4/m m m'
_symmetry_Int_Tables_number 123
_symmetry_space_group_name_Hall '-P 4 2'
_cell_length_a 3.796
_cell_length_b 3.796
_cell_length_c 3.774
_cell_angle_alpha 90.00
_cell_angle_beta 90.00
_cell_angle_gamma 90.00
loop_
_atom_site_label
_atom_site_type_symbol
_atom_site_fract_x
_atom_site_fract_y
_atom_site_fract_z
_atom_site_occupancy
Mn1 Mn 0.000 0.500 0.000 1
Fe1 Fe 0.000 0.000 0.500 1
Co1 Co 0.500 0.500 0.500 1
N1 N 0.000 0.000 0.000 1
# - uncorrected energy (eV/atom) = -8.50
# - formation energy from raw total energies (eV/atom) = -0.054
# - excess energy over the best structure of this formula in the dataset (meV per atom) = 0
# - N(E_F) (states/eV per cell) = 5.030

Which value of uncorrected energy does entry 1 give? -8.18 eV/atom